# 1
# SrYNO2

A PBEsol-optimized structure of SrYNO2 (SCAN, Alexandria via LeMat-Bulk).

Cell lengths 4.358, 4.301, 4.301 Å; angles 90.00, 90.00, 90.00 degrees
Element x y z (fractional)
1 O 0.000 0.000 0.500
2 O 0.000 0.500 0.000
3 N 0.500 0.000 0.000
4 Y 0.500 0.500 0.500
5 Sr 0.000 0.000 0.000

Results
- uncorrected formation energy (eV per atom) = -0.75
- volume (A^3/atom) = 16.1
- space group = P4/mmm (123)
- total moment (μB per cell) = 1.134
- total energy (eV per atom) = -15.1200

---

# 2
# Be2CrCl

A PBEsol-optimized structure of Be2CrCl (SCAN, Alexandria via LeMat-Bulk).

Cell lengths 2.956, 4.006, 4.006 Å; angles 90.00, 90.00, 90.00 degrees
Element x y z (fractional)
1 Cl 0.500 0.500 0.500
2 Be 0.000 0.000 0.500
3 Be 0.000 0.500 0.000
4 Cr 0.500 0.000 0.000

Results
- energy above the most stable polymorph in this dataset (eV/atom) = 0.2781
- uncorrected formation energy (eV per atom) = 0.61
- volume (A^3/atom) = 11.9
- space group = P4/mmm (123)
- total moment (μB per cell) = 3.010
- total energy (eV per atom) = -8.1569

---

# 3
# KTa2Rh

A PBEsol-optimized structure of KTa2Rh (SCAN, Alexandria via LeMat-Bulk).

Cell lengths 2.928, 4.878, 4.878 Å; angles 90.00, 90.00, 90.00 degrees
Element x y z (fractional)
1 K 0.500 0.500 0.500
2 Ta 0.000 0.500 0.000
3 Ta 0.000 0.000 0.500
4 Rh 0.500 0.000 0.000

Results
- energy above the most stable polymorph in this dataset (eV/atom) = 0.8485
- volume (A^3/atom) = 17.4
- space group = P4/mmm (123)
- total moment (μB per cell) = 0.000
- total energy (eV per atom) = -42.4655

---

# 4
# BeH2S

A PBEsol-optimized structure of BeH2S (SCAN, Alexandria via LeMat-Bulk).

Cell lengths 3.445, 3.445, 3.445 Å; angles 60.00, 60.00, 60.00 degrees
Element x y z (fractional)
1 S 0.500 0.500 0.500
2 Be 0.000 0.000 0.000
3 H 0.750 0.750 0.750
4 H 0.250 0.250 0.250

Results
- volume (A^3/atom) = 7.2
- space group = Fm-3m (225)
- total moment (μB per cell) = 0.000
- total energy (eV per atom) = -4.3000